# 1
## Y2Co2Ge3 (PBE)

Data for an optimized crystal structure of Y2Co2Ge3.

a b c (Å): 9.0554 9.0554 6.8138
angles (deg): 90.00 90.00 153.83
Last column: nearest neighbours and their distance in Å.
Fractional coordinates of all 14 atoms:
Y 0.0539 0.9461 0.7500  9 Ge 2.96-3.23
Y 0.1604 0.8396 0.2500  6 Co 2.85-3.00, 6 Ge 2.91-2.92
Y 0.8396 0.1604 0.7500  6 Co 2.85-3.00, 6 Ge 2.91-2.92
Y 0.9461 0.0539 0.2500  9 Ge 2.96-3.23
Co 0.3037 0.6963 0.0580  4 Ge 2.41-2.54, 1 Co 2.62
Co 0.3037 0.6963 0.4420  4 Ge 2.41-2.54, 1 Co 2.62
Co 0.6963 0.3037 0.5580  4 Ge 2.41-2.54, 1 Co 2.62
Co 0.6963 0.3037 0.9420  4 Ge 2.41-2.54, 1 Co 2.62
Ge 0.2226 0.7774 0.7500  6 Co 2.48-2.54
Ge 0.4324 0.5676 0.5609  1 Co 2.41, 2 Ge 2.53-2.58
Ge 0.4324 0.5676 0.9391  1 Co 2.41, 2 Ge 2.53-2.58
Ge 0.5676 0.4324 0.0609  1 Co 2.41, 2 Ge 2.53-2.58
Ge 0.5676 0.4324 0.4391  1 Co 2.41, 2 Ge 2.53-2.58
Ge 0.7774 0.2226 0.2500  6 Co 2.48-2.54

Properties
Electronic total energy: -6.4731 eV/atom
Space-group type: No. 63
D(E_F): 11.8 states/eV per cell
Spin magnetization: 0.7 μB/f.u.

***

# 2
## TaIn4Mo (PBE)

Data for an optimized crystal structure of TaIn4Mo.

a b c (Å): 5.6161 5.6161 5.6161
angles (deg): 60.00 60.00 60.00
Last column: nearest neighbours and their distance in Å.
Fractional coordinates of all 6 atoms:
Ta 0.0000 0.0000 0.0000  12 In 3.29, 4 Mo 3.44
In 0.1249 0.6250 0.6250  6 In 2.81
In 0.6250 0.1249 0.6250  6 In 2.81
In 0.6250 0.6250 0.1249  6 In 2.81
In 0.6250 0.6250 0.6250  6 In 2.81
Mo 0.2500 0.2500 0.2500  12 In 3.29, 4 Ta 3.44

Properties
Electronic total energy: -4.7331 eV/atom
Space-group type: No. 216
D(E_F): 5.3 states/eV per cell
Spin magnetization: 1.5 μB/f.u.

***

# 3
## KHfBr5 (PBE)

Data for an optimized crystal structure of KHfBr5.

a b c (Å): 8.6320 8.6320 10.4209
angles (deg): 108.62 108.62 53.54
Last column: nearest neighbours and their distance in Å.
Fractional coordinates of all 14 atoms:
K 0.0374 0.9626 0.7500  5 Br 3.33-3.38
K 0.9626 0.0374 0.2500  5 Br 3.33-3.38
Hf 0.5000 0.5000 0.0000  6 Br 2.58-2.73
Hf 0.5000 0.5000 0.5000  6 Br 2.58-2.73
Br 0.1443 0.6058 0.4783  1 Hf 2.58
Br 0.1477 0.5952 0.8869  1 Hf 2.58
Br 0.3932 0.6068 0.2500  2 Hf 2.73
Br 0.3942 0.8557 0.0217  1 Hf 2.58
Br 0.4048 0.8523 0.6131  1 Hf 2.58
Br 0.5952 0.1477 0.3869  1 Hf 2.58
Br 0.6058 0.1443 0.9783  1 Hf 2.58
Br 0.6068 0.3932 0.7500  2 Hf 2.73
Br 0.8523 0.4048 0.1131  1 Hf 2.58
Br 0.8557 0.3942 0.5217  1 Hf 2.58

Properties
ΔE_f (raw): -1.47 eV/atom
Electronic total energy: -4.2478 eV/atom
Space-group type: No. 15
D(E_F): 0.0 states/eV per cell
Spin magnetization: 0.0 μB/f.u.